! PBE-GGA SrCa2Au9, relaxed; values from VASP
&SYSTEM
  ibrav = 0, nat = 12, ntyp = 3
/
ATOMIC_SPECIES
Sr 87.62 Sr.upf
Ca 40.08 Ca.upf
Au 196.97 Au.upf
CELL_PARAMETERS angstrom
2.836 1.637 9.427
-2.836 1.637 9.427
0.000 -3.275 9.427
ATOMIC_POSITIONS angstrom
Sr 0.000 0.000 0.000
Ca 0.000 0.000 4.041
Ca 0.000 0.000 24.240
Au -1.432 -0.827 11.849
Au 0.000 0.000 9.414
Au 0.000 -1.654 16.431
Au -1.432 0.827 16.431
Au 0.000 0.000 14.140
Au 1.432 -0.827 11.849
Au 0.000 1.654 11.849
Au 0.000 0.000 18.867
Au 1.432 0.827 16.431
! D(E_F): 6.511 states/eV per cell
! Total DFT energy (no corrections): -41.71 eV per cell